# 1
A plane-wave DFT calculation with PBE-GGA was carried out for an optimized crystal structure of Cd2PtRh.

POSCAR file:
```
Cd2PtRh
1.0
6.829 -0.002 -0.005
-2.731 3.941 0.041
1.367 0.918 2.567
Rh Pt Cd
1 1 2
Direct
0.500 0.500 0.000
0.000 0.500 0.500
0.000 0.000 0.000
0.500 0.000 0.500
```

***

# 2
A plane-wave DFT calculation with PBE-GGA was carried out for an optimized crystal structure of CdPtRh2.

POSCAR file:
```
CdPtRh2
1.0
-0.775 -0.087 -2.713
0.186 -3.914 0.072
-5.517 -0.233 1.583
Cd Pt Rh
1 1 2
Direct
0.000 0.000 0.500
0.500 0.500 0.762
0.000 0.000 0.011
0.500 0.500 0.227
```

***

Number 1: E_tot -3.99 eV/atom, formation energy -0.18 eV/atom. Number 2: E_tot -5.45 eV/atom, formation energy -0.04 eV/atom.